# CaCr3P3O13

CaCr3P3O13 after structural relaxation (GGA+U, Alexandria via LeMat-Bulk).

CIF file:
```
data_CaCr3P3O13
_chemical_formula_sum 'Ca2 Cr6 P6 O26'
_symmetry_space_group_name_H-M 'P 1 21/m 1'
_symmetry_Int_Tables_number 11
_cell_length_a 7.539
_cell_length_b 6.370
_cell_length_c 10.352
_cell_angle_alpha 90.00
_cell_angle_beta 100.39
_cell_angle_gamma 90.00
loop_
_symmetry_equiv_pos_as_xyz
'x,y,z'
'-x,-y,-z'
'-x,y+1/2,-z'
'x,-y+1/2,z'
loop_
_atom_site_label
_atom_site_fract_x
_atom_site_fract_y
_atom_site_fract_z
Ca1 0.162 0.250 0.198
Cr1 0.141 0.250 0.800
Cr2 0.273 0.750 0.440
Cr3 0.500 0.000 0.000
P1 0.186 0.750 0.113
P2 0.240 0.750 0.765
P3 0.290 0.250 0.516
O1 0.009 0.250 0.966
O2 0.120 0.562 0.789
O3 0.144 0.750 0.256
O4 0.158 0.250 0.612
O5 0.252 0.061 0.419
O6 0.290 0.547 0.095
O7 0.300 0.750 0.632
O8 0.379 0.250 0.903
O9 0.417 0.750 0.874
O10 0.485 0.250 0.594
```

Results
* calculated volume: 488.99 Å³/cell
* E_tot: -301.70 eV for the cell shown
* spin magnetization: 18.0 Bohr magnetons per cell